Record 1
CaHg2Br6 | PBE-GGA | relaxed

The calculation puts the magnetic moment at 0.00 μB/cell. Its electronic total energy is -41.8 eV for the cell shown. The uncorrected formation energy comes out at -0.9190 eV/atom. The value obtained for the excess energy over the best structure of this formula in the dataset is 22.4 kJ/mol of formula units. The value obtained for the density is 4.36 g/cm3.

The space group is C2/m (No. 12) and the conventional cell measures 15.631, 4.291 and 11.522 Å, with angles of 90.00, 114.86 and 90.00 degrees. The asymmetric unit holds Ca at (0.000, 0.000, 0.000), Hg at (0.196, 0.000, 0.721), Br at (0.105, 0.500, 0.178), Br at (0.142, 0.000, 0.905) and Br at (0.156, 0.500, 0.567).

Record 2
CaHg2Br6 | PBE-GGA | relaxed

The calculation puts the magnetic moment at 0.00 μB/cell. Its electronic total energy is -84.6 eV for the cell shown. The uncorrected formation energy comes out at -0.9448 eV/atom. The value obtained for the excess energy over the best structure of this formula in the dataset is 0.0 kJ/mol of formula units. The value obtained for the density is 4.75 g/cm3.

The space group is C2/c (No. 15) and the conventional cell measures 13.693, 12.651 and 7.545 Å, with angles of 90.00, 99.67 and 90.00 degrees. The asymmetric unit holds Ca at (0.000, 0.098, 0.250), Hg at (0.178, 0.414, 0.323), Br at (0.115, 0.076, 0.614), Br at (0.125, 0.251, 0.115) and Br at (0.126, 0.405, 0.646).

Record 3
CaHgBr2 | PBE-GGA | relaxed

The calculation puts the magnetic moment at 0.00 μB/cell. Its electronic total energy is -44.3 eV for the cell shown. The uncorrected formation energy comes out at -1.3589 eV/atom. The value obtained for the excess energy over the best structure of this formula in the dataset is 55.8 kJ/mol of formula units. The value obtained for the density is 4.05 g/cm3.

The space group is I-42d (No. 122) and the conventional cell measures 8.912, 8.912 and 8.264 Å, with angles of 90.00, 90.00 and 90.00 degrees. The asymmetric unit holds Ca at (0.000, 0.000, 0.000), Hg at (0.000, 0.000, 0.500) and Br at (0.152, 0.250, 0.125).

Record 4
CaHgBr2 | PBE-GGA | relaxed

The calculation puts the magnetic moment at 0.00 μB/cell. Its electronic total energy is -10.0 eV for the cell shown. The uncorrected formation energy comes out at -1.0926 eV/atom. The value obtained for the excess energy over the best structure of this formula in the dataset is 158.6 kJ/mol of formula units. The value obtained for the density is 5.46 g/cm3.

The space group is P4mm (No. 99) and the conventional cell measures 3.936, 3.936 and 7.866 Å, with angles of 90.00, 90.00 and 90.00 degrees. The asymmetric unit holds Ca at (0.000, 0.000, 0.000), Hg at (0.500, 0.500, 0.234), Br at (0.000, 0.000, 0.403) and Br at (0.500, 0.500, 0.802).